# Pr2YGa6 | the Alexandria database | PBE | optimized geometry
data_Pr2YGa6
_chemical_formula_sum 'Pr2 Y1 Ga6'
_space_group_name_H-M_alt 'P 6/m m m'
_space_group_IT_number 191
_space_group_name_Hall '-P 6 2'
_cell_length_a 7.3896
_cell_length_b 7.3896
_cell_length_c 4.2873
_cell_angle_alpha 90.00
_cell_angle_beta 90.00
_cell_angle_gamma 120.00
loop_
_atom_site_label
_atom_site_fract_x
_atom_site_fract_y
_atom_site_fract_z
Pr1 0.3333 0.6667 0.0000
Y1 0.0000 0.0000 0.0000
Ga1 0.0000 0.3319 0.5000
# Formation enthalpy at 0 K: -0.67 eV/atom
# Polymorph energy (0 for the lowest one): 0.000 eV per atom